Material: NaEuV4O12
Method: DFT, PBE+U
State: relaxed

Lattice parameters (Å, degrees): 7.252 7.001 10.038 90.00 90.00 90.00
Space group Amm2 (No. 38)
Asymmetric unit:
Na 0.000 0.000 0.000 x2
Eu 0.500 0.000 0.538 x2
V 0.251 0.243 0.260 x8
O 0.000 0.221 0.757 x4
O 0.216 0.000 0.191 x4
O 0.267 0.000 0.701 x4
O 0.287 0.228 0.423 x8
O 0.500 0.232 0.195 x4

**E_tot**: -272.444 eV/cell